First-principles (PBE) data for a geometry-optimized InFeCoNi structure, as listed in OQMD via LeMat-Bulk.

## Properties
- size of the total moment (Bohr magnetons per cell) = 4.5
- total energy (eV per atom) = -5.872

Lattice parameters (Å, degrees): 4.217 4.217 4.217 60.00 60.00 60.00
Fractional positions:
1 In 0.000 0.000 0.000
2 Fe 0.500 0.500 0.500
3 Co 0.250 0.250 0.250
4 Ni 0.750 0.750 0.750

---

First-principles (PBE) data for a geometry-optimized InFeCoOs structure, as listed in OQMD via LeMat-Bulk.

## Properties
- size of the total moment (Bohr magnetons per cell) = 4.7
- total energy (eV per atom) = -7.014

Lattice parameters (Å, degrees): 4.336 4.336 4.336 60.00 60.00 60.00
Fractional positions:
1 In 0.000 0.000 0.000
2 Fe 0.500 0.500 0.500
3 Co 0.250 0.250 0.250
4 Os 0.750 0.750 0.750

---

First-principles (PBE) data for a geometry-optimized InFeCoPd structure, as listed in OQMD via LeMat-Bulk.

## Properties
- size of the total moment (Bohr magnetons per cell) = 4.6
- total energy (eV per atom) = -5.849

Lattice parameters (Å, degrees): 4.376 4.376 4.376 60.00 60.00 60.00
Fractional positions:
1 In 0.000 0.000 0.000
2 Fe 0.500 0.500 0.500
3 Co 0.250 0.250 0.250
4 Pd 0.750 0.750 0.750

---

First-principles (PBE) data for a geometry-optimized InFeCoRe structure, as listed in OQMD via LeMat-Bulk.

## Properties
- size of the total moment (Bohr magnetons per cell) = 2.9
- total energy (eV per atom) = -7.299

Lattice parameters (Å, degrees): 4.282 4.282 4.282 60.00 60.00 60.00
Fractional positions:
1 In 0.000 0.000 0.000
2 Fe 0.750 0.750 0.750
3 Co 0.250 0.250 0.250
4 Re 0.500 0.500 0.500

---

First-principles (PBE) data for a geometry-optimized TaInFeCo structure, as listed in OQMD via LeMat-Bulk.

## Properties
- size of the total moment (Bohr magnetons per cell) = 1.0
- total energy (eV per atom) = -7.545

Lattice parameters (Å, degrees): 4.338 4.338 4.338 60.00 60.00 60.00
Fractional positions:
1 Ta 0.000 0.000 0.000
2 In 0.500 0.500 0.500
3 Fe 0.250 0.250 0.250
4 Co 0.750 0.750 0.750

---

First-principles (PBE) data for a geometry-optimized TaInFeCo structure, as listed in OQMD via LeMat-Bulk.

## Properties
- size of the total moment (Bohr magnetons per cell) = 3.3
- total energy (eV per atom) = -7.113

Lattice parameters (Å, degrees): 4.413 4.413 4.413 60.00 60.00 60.00
Fractional positions:
1 Ta 0.000 0.000 0.000
2 In 0.250 0.250 0.250
3 Fe 0.500 0.500 0.500
4 Co 0.750 0.750 0.750

---

First-principles (PBE) data for a geometry-optimized TaInFeCo structure, as listed in OQMD via LeMat-Bulk.

## Properties
- size of the total moment (Bohr magnetons per cell) = 3.0
- total energy (eV per atom) = -7.189

Lattice parameters (Å, degrees): 4.417 4.417 4.417 60.00 60.00 60.00
Fractional positions:
1 Ta 0.000 0.000 0.000
2 In 0.250 0.250 0.250
3 Fe 0.750 0.750 0.750
4 Co 0.500 0.500 0.500

---

First-principles (PBE) data for a geometry-optimized InFeCoW structure, as listed in OQMD via LeMat-Bulk.

## Properties
- size of the total moment (Bohr magnetons per cell) = 2.5
- total energy (eV per atom) = -7.164

Lattice parameters (Å, degrees): 4.358 4.358 4.358 60.00 60.00 60.00
Fractional positions:
1 In 0.000 0.000 0.000
2 Fe 0.250 0.250 0.250
3 Co 0.500 0.500 0.500
4 W 0.750 0.750 0.750